## NdPuTh (GGA-PBE)

Data for a geometry-optimized NdPuTh structure.

Output
DFT formation energy: 0.15 eV/atom
M_tot: 0.0 μB/cell

Cell: 3.5207 5.1092 10.0640 Å, 75.30 90.00 90.00°
Last column: nearest neighbours and their distance in Å.
Element x y z (fractional)
Pu1 0.2500 0.4621 0.0759  2 Pu 2.30
Pu2 0.7500 0.5379 0.9241  2 Pu 2.30
Th1 0.2500 0.0865 0.8271  6 Pu 3.24-3.52, 2 Th 3.52
Nd1 0.2500 0.2989 0.4023  1 Pu 3.18, 2 Nd 3.52
Th2 0.7500 0.9135 0.1729  6 Pu 3.24-3.52, 2 Th 3.52
Nd2 0.7500 0.7011 0.5977  1 Pu 3.18, 2 Nd 3.52